# 1
This record from Alexandria describes an optimized crystal structure of MgPRu. The functional is PBE.

Computed properties:
The calculation puts the formation energy at -0.442 eV per atom. The volume is 16.68 A^3/atom. Its density of states at the Fermi level is 8.25 states/eV/cell.

Lattice parameters (Å, degrees): 10.5803 3.1394 6.4114 90.00 109.93 90.00
With the nearest neighbours (Å) after each atom.
Space group C2/m (No. 12)
Unique sites:
Mg: 0.0910 0.0000 0.2924  2 P 2.61-2.78, 4 Ru 2.80-2.82
P: 0.1755 0.0000 0.7259  3 Ru 2.32-2.35
Ru: 0.1299 0.5000 0.9575  3 P 2.32-2.35

# 2
This record from Alexandria describes an optimized crystal structure of CuSbNF2. The functional is PBE.

Computed properties:
As for the formation energy without anion corrections: -281 meV per atom. As for the energy above the most stable polymorph in this dataset: 15.8 meV/atom. The volume is 15.51 A^3/atom. Its density of states at the Fermi level is 0.40 states/eV/cell.

Lattice parameters (Å, degrees): 4.3494 4.3494 4.0987 90.00 90.00 90.00
With the nearest neighbours (Å) after each atom.
Space group P4/mmm (No. 123)
Unique sites:
Cu: 0.0000 0.0000 0.0000  8 F 2.99, 4 N 3.08
Sb: 0.5000 0.5000 0.5000  2 N 2.05, 4 F 2.17
N: 0.5000 0.5000 0.0000  2 Sb 2.05
F: 0.0000 0.5000 0.5000  2 Sb 2.17

# 3
This record from Alexandria describes an optimized crystal structure of ZnTeAs2. The functional is PBE.

Computed properties:
As for the formation energy without anion corrections: 328 meV per atom. As for the energy above the most stable polymorph in this dataset: 441.1 meV/atom. The volume is 22.32 A^3/atom. Its density of states at the Fermi level is 2.48 states/eV/cell.

Lattice parameters (Å, degrees): 3.8918 3.8918 5.8938 90.00 90.00 90.00
With the nearest neighbours (Å) after each atom.
Space group P4/mmm (No. 123)
Unique sites:
Zn: 0.0000 0.0000 0.0000  4 Te 2.75
Te: 0.5000 0.5000 0.0000  4 Zn 2.75
As: 0.0000 0.5000 0.5000  4 As 2.75

# 4
This record from Alexandria describes an optimized crystal structure of NaPaGa2. The functional is PBE.

Computed properties:
As for the energy above the most stable polymorph in this dataset: 0.0 meV/atom. The calculation puts the formation energy at -0.114 eV per atom. The volume is 21.96 A^3/atom. Its density of states at the Fermi level is 4.85 states/eV/cell.

Lattice parameters (Å, degrees): 5.3944 5.3944 3.0183 90.00 90.00 90.00
With the nearest neighbours (Å) after each atom.
Space group P4/mmm (No. 123)
Unique sites:
Na: 0.0000 0.0000 0.0000  2 Na 3.02, 8 Ga 3.09
Pa: 0.5000 0.5000 0.0000  2 Pa 3.02, 8 Ga 3.09
Ga: 0.0000 0.5000 0.5000  2 Ga 3.02, 4 Na 3.09, 4 Pa 3.09

| no. | energy (eV per atom) |
| --- | --- |
| 1 | -5.869 |
| 2 | -4.338 |
| 3 | -3.101 |
| 4 | -4.331 |